VASP calculation (PBE) on crystalline Ac8Sn2Rh at its relaxed geometry.

## Properties
The calculation puts the density of states at the Fermi level at 1.11 states/eV/atom. The calculation puts the total energy at -52.39 eV for the cell shown.

Structure (CIF):
```
data_Ac8Sn2Rh
_space_group_name_H-M_alt 'P 1'
_space_group_IT_number 1
_cell_length_a 10.362
_cell_length_b 10.362
_cell_length_c 9.335
_cell_angle_alpha 97.31
_cell_angle_beta 97.31
_cell_angle_gamma 25.85
loop_
_space_group_symop_operation_xyz
'x,y,z'
loop_
_atom_site_label
_atom_site_fract_x
_atom_site_fract_y
_atom_site_fract_z
Ac1 0.002 0.002 0.208
Ac2 0.212 0.212 0.353
Ac3 0.350 0.350 0.985
Ac4 0.404 0.404 0.467
Ac5 0.596 0.596 0.533
Ac6 0.650 0.650 0.015
Ac7 0.788 0.788 0.647
Ac8 0.998 0.998 0.792
Sn1 0.183 0.183 0.761
Sn2 0.817 0.817 0.239
Rh1 0.500 0.500 0.000
```